Computed, not measured: CaNbTcHg2 after structural relaxation at the PBE level of DFT.

Cell: 5.2778 5.2778 5.0011 Å, 90.00 90.00 90.00°
Space group P4/mmm (No. 123)
One atom of each set of equivalent atoms:
Ca 0.0000 0.0000 0.0000 [1 per cell]
Nb 0.0000 0.0000 0.5000 [1 per cell]
Tc 0.5000 0.5000 0.5000 [1 per cell]
Hg 0.0000 0.5000 0.0000 [2 per cell]

Properties
The formation energy is 1.9669 eV per atom. The density of states at the Fermi level comes out at 4.6 states/eV per cell.